LiAcGa4 | PBE-GGA | relaxed

Its energy above the lowest structure with this stoichiometry is 0.1530 eV/atom. The calculation puts the formation energy at -31.2 kJ per mole of atoms.

The structure belongs to space group F-43m (No. 216); the cell edges are 8.059, 8.059 and 8.059 Å and the angles 90.00°, 90.00° and 90.00°. Symmetry generates all atoms from Li at (0.000, 0.000, 0.000), Ac at (0.250, 0.250, 0.250) and Ga at (0.125, 0.125, 0.625).

Ba2CeCd2Sb4 | PBE-GGA | relaxed

The raw total energy comes out at -3.900 eV per atom.

The structure belongs to space group C2/m (No. 12); the cell edges are 16.852, 4.680 and 8.147 Å and the angles 90.00°, 109.80° and 90.00°. Symmetry generates all atoms from Ba at (0.133, 0.000, 0.085), Ce at (0.000, 0.000, 0.500), Cd at (0.171, 0.500, 0.487), Sb at (0.002, 0.500, 0.239) and Sb at (0.202, 0.000, 0.709).

Cs2RbZnCl6 | PBE-GGA | relaxed

The raw total energy comes out at -2.932 eV per atom.

The structure belongs to space group Fm-3m (No. 225); the cell edges are 11.173, 11.173 and 11.173 Å and the angles 90.00°, 90.00° and 90.00°. Symmetry generates all atoms from Cs at (0.250, 0.250, 0.250), Rb at (0.000, 0.000, 0.000), Zn at (0.000, 0.000, 0.500) and Cl at (0.000, 0.000, 0.280).